[1]
Computed, not measured: an optimized crystal structure of Cs2MgTiO4 at the GGA-PBE level of DFT.

a b c (Å): 12.762 11.349 6.923
angles (deg): 84.94 62.35 32.71
Element x y z (fractional)
Cs (0.048, 0.048, 0.702)
Cs (0.298, 0.298, 0.952)
Cs (0.702, 0.702, 0.048)
Cs (0.952, 0.952, 0.298)
Mg (0.125, 0.125, 0.125)
Mg (0.875, 0.875, 0.875)
Ti (0.375, 0.375, 0.375)
Ti (0.625, 0.625, 0.625)
O (0.022, 0.642, 0.570)
O (0.266, 0.570, 0.642)
O (0.358, 0.978, 0.734)
O (0.430, 0.734, 0.978)
O (0.570, 0.266, 0.022)
O (0.642, 0.022, 0.266)
O (0.734, 0.430, 0.358)
O (0.978, 0.358, 0.430)

Output
Uncorrected formation energy (eV/f.u.): -18.57
Space group: Fddd



[2]
Computed, not measured: an optimized crystal structure of CsMg2UO6 at the GGA-PBE level of DFT.

a b c (Å): 7.254 7.254 6.286
angles (deg): 90.27 90.27 102.68
Element x y z (fractional)
Cs (0.086, 0.914, 0.750)
Cs (0.914, 0.086, 0.250)
Mg (0.248, 0.437, 0.829)
Mg (0.437, 0.248, 0.329)
Mg (0.563, 0.752, 0.671)
Mg (0.752, 0.563, 0.171)
U (0.307, 0.693, 0.250)
U (0.693, 0.307, 0.750)
O (0.027, 0.675, 0.193)
O (0.281, 0.404, 0.170)
O (0.284, 0.630, 0.572)
O (0.325, 0.973, 0.307)
O (0.370, 0.716, 0.928)
O (0.404, 0.281, 0.670)
O (0.596, 0.719, 0.330)
O (0.630, 0.284, 0.072)
O (0.675, 0.027, 0.693)
O (0.716, 0.370, 0.428)
O (0.719, 0.596, 0.830)
O (0.973, 0.325, 0.807)

Output
Uncorrected formation energy (eV/f.u.): -24.72
Space group: C2/c



[3]
Computed, not measured: an optimized crystal structure of CsMg2Os at the GGA-PBE level of DFT.

a b c (Å): 5.139 5.139 5.139
angles (deg): 60.00 60.00 60.00
Element x y z (fractional)
Cs (0.000, 0.000, 0.000)
Mg (0.250, 0.250, 0.250)
Mg (0.750, 0.750, 0.750)
Os (0.500, 0.500, 0.500)

Output
Offset from the most stable computed form (eV per atom): 0.132
Energy of formation (meV/atom): 1139
Space group: Fm-3m



[4]
Computed, not measured: an optimized crystal structure of Cs2MgOs at the GGA-PBE level of DFT.

a b c (Å): 9.399 9.399 9.399
angles (deg): 120.32 120.32 89.45
Element x y z (fractional)
Cs (0.375, 0.130, 0.255)
Cs (0.870, 0.125, 0.245)
Cs (0.875, 0.120, 0.745)
Cs (0.880, 0.625, 0.755)
Mg (0.250, 0.750, 0.500)
Mg (0.500, 0.500, 0.000)
Os (0.000, 0.000, 0.000)
Os (0.750, 0.250, 0.500)

Output
Offset from the most stable computed form (eV per atom): 0.273
Energy of formation (meV/atom): 1761
Space group: I-42d



[5]
Computed, not measured: an optimized crystal structure of CsMg2Os2 at the GGA-PBE level of DFT.

a b c (Å): 8.592 8.592 2.994
angles (deg): 90.00 90.00 90.00
Element x y z (fractional)
Cs (0.000, 0.000, 0.000)
Cs (0.500, 0.500, 0.000)
Mg (0.176, 0.324, 0.500)
Mg (0.324, 0.824, 0.500)
Mg (0.676, 0.176, 0.500)
Mg (0.824, 0.676, 0.500)
Os (0.097, 0.597, 0.000)
Os (0.403, 0.097, 0.000)
Os (0.597, 0.903, 0.000)
Os (0.903, 0.403, 0.000)

Output
Offset from the most stable computed form (eV per atom): 0.000
Energy of formation (meV/atom): 792
Space group: P4/mbm



[6]
Computed, not measured: an optimized crystal structure of CsMgOs3 at the GGA-PBE level of DFT.

a b c (Å): 4.971 4.971 4.971
angles (deg): 90.00 90.00 90.00
Element x y z (fractional)
Cs (0.000, 0.000, 0.000)
Mg (0.500, 0.500, 0.500)
Os (0.000, 0.000, 0.500)
Os (0.000, 0.500, 0.000)
Os (0.500, 0.000, 0.000)

Output
Offset from the most stable computed form (eV per atom): 0.912
Energy of formation (meV/atom): 3630
Space group: Pm-3m



Sequential electronic total energy output: -6.20 -6.98 -2.68 -1.87 -4.51 -3.60 eV per atom
Sequential size of the total moment output: 0.0 0.9 0.7 1.5 0.4 3.9 μB/f.u.